Computed, not measured: a geometry-optimized YAl2Sn2 structure at the PBE-GGA level of DFT.

Values from the calculation:
Mass density, g cm⁻³: 5.316
Energy of formation, eV/f.u.: -0.5
Fermi-level density of states, states/eV per atom: 0.484

a = 8.0319 Å, b = 8.0319 Å, c = 3.6828 Å
α = 90.00°, β = 90.00°, γ = 90.00°
Last column: nearest neighbours and their distance in Å.
Space group P4/mbm (No. 127)
Unique sites:
Y: 0.0000 0.0000 0.0000 [2 per cell]  4 Sn 3.11
Al: 0.1552 0.3448 0.5000 [4 per cell]  6 Sn 2.98-3.00
Sn: 0.1387 0.6387 0.0000 [4 per cell]  6 Al 2.98-3.00, 2 Y 3.11, 1 Sn 3.15